# 1
This record from the Alexandria database describes a relaxed NbAlVGa crystal. The functional is PBE.

## Properties
- volume (Å³/atom) = 16.91
- ΔH_f (0 K) (eV per formula unit) = 1.16

Cell: 2.752 5.032 9.769 Å, 90.00 90.00 90.00°
Space group Imm2 (No. 44)
Unique sites:
Nb 0.000 0.000 0.000
Al 0.000 0.000 0.722
V 0.000 0.000 0.265
Ga 0.000 0.500 0.985

# 2
This record from the Alexandria database describes a relaxed NbAl2ZnGa crystal. The functional is PBE.

## Properties
- volume (Å³/atom) = 19.82
- ΔH_f (0 K) (eV per formula unit) = 3.35

Cell: 4.441 4.441 5.025 Å, 90.00 90.00 90.00°
Space group P4/mmm (No. 123)
Unique sites:
Nb 0.000 0.000 0.000
Al 0.000 0.500 0.500
Zn 0.000 0.000 0.500
Ga 0.500 0.500 0.000

# 3
This record from the Alexandria database describes a relaxed Nd6Al2Ga crystal. The functional is PBE.

## Properties
- volume (Å³/atom) = 32.51
- ΔH_f (0 K) (eV per formula unit) = -0.84

Cell: 16.294 7.315 5.174 Å, 90.00 108.39 90.00°
Space group C2/m (No. 12)
Unique sites:
Nd 0.000 0.246 0.000
Nd 0.165 0.249 0.665
Al 0.166 0.500 0.166
Ga 0.000 0.000 0.500

# 4
This record from the Alexandria database describes a relaxed Nd2Al2Ga crystal. The functional is PBE.

## Properties
- volume (Å³/atom) = 24.98
- ΔH_f (0 K) (eV per formula unit) = -2.43

Cell: 11.413 4.350 11.373 Å, 90.00 117.78 90.00°
Space group C2/m (No. 12)
Unique sites:
Nd 0.106 0.000 0.402
Nd 0.208 0.500 0.149
Al 0.039 0.000 0.912
Al 0.119 0.500 0.615
Ga 0.066 0.500 0.814

# 5
This record from the Alexandria database describes a relaxed Nd2AlGa3 crystal. The functional is PBE.

## Properties
- volume (Å³/atom) = 22.96
- ΔH_f (0 K) (eV per formula unit) = -3.82

Cell: 4.177 4.376 15.071 Å, 90.00 90.00 90.00°
Space group Imm2 (No. 44)
Unique sites:
Nd 0.000 0.000 0.000
Nd 0.000 0.500 0.259
Al 0.000 0.000 0.588
Ga 0.000 0.000 0.422
Ga 0.000 0.500 0.671
Ga 0.000 0.500 0.836

# 6
This record from the Alexandria database describes a relaxed Nd3Al2Ga9 crystal. The functional is PBE.

## Properties
- volume (Å³/atom) = 20.11
- ΔH_f (0 K) (eV per formula unit) = -6.73

Cell: 4.273 10.062 13.094 Å, 90.00 90.00 90.00°
Space group Immm (No. 71)
Unique sites:
Nd 0.000 0.000 0.000
Nd 0.000 0.000 0.321
Al 0.000 0.222 0.500
Ga 0.000 0.273 0.140
Ga 0.000 0.372 0.333
Ga 0.000 0.500 0.000